1.
Compound: MgScIr2
Source: Alexandria
Functional: PBE
Structure: optimized geometry

Cell lengths 8.544, 8.544, 8.544 Å; angles 20.42, 20.42, 20.42 degrees
Fractional positions:
Mg  0.000  0.000  0.000
Sc  0.500  0.500  0.500
Ir  0.249  0.249  0.249
Ir  0.751  0.751  0.751

Summary:
D(E_F), states/eV/cell: 3.51
E_form, eV/atom: -0.385


2.
Compound: Na2AlB2O6
Source: Alexandria
Functional: PBE
Structure: optimized geometry

Cell lengths 5.009, 5.009, 5.907 Å; angles 90.00, 90.00, 120.00 degrees
Fractional positions:
Na  0.333  0.667  0.299
Na  0.667  0.333  0.701
Al  0.000  0.000  0.000
B  0.333  0.667  0.814
B  0.667  0.333  0.186
O  0.176  0.351  0.806
O  0.176  0.824  0.806
O  0.351  0.176  0.194
O  0.649  0.824  0.806
O  0.824  0.176  0.194
O  0.824  0.649  0.194

Summary:
D(E_F), states/eV/cell: 4.85
Energy, eV/atom: -6.7042


3.
Compound: Ca2LuO
Source: Alexandria
Functional: PBE
Structure: optimized geometry

Cell lengths 9.680, 9.680, 9.680 Å; angles 20.54, 20.54, 20.54 degrees
Fractional positions:
Ca  0.117  0.117  0.117
Ca  0.883  0.883  0.883
Lu  0.000  0.000  0.000
O  0.500  0.500  0.500

Summary:
D(E_F), states/eV/cell: 2.81
Energy, eV/atom: -4.5696


4.
Compound: ZrReS2
Source: Alexandria
Functional: PBE
Structure: optimized geometry

Cell lengths 8.436, 8.436, 8.436 Å; angles 21.52, 21.52, 21.52 degrees
Fractional positions:
Zr  0.000  0.000  0.000
Re  0.500  0.500  0.500
S  0.407  0.407  0.407
S  0.593  0.593  0.593

Summary:
Energy above the most stable polymorph in this dataset, kJ per mole of atoms: 10.30
D(E_F), states/eV/cell: 3.52


Question: Which of these has the highest D(E_F)?
Answer: Na2AlB2O6


What did the second record say?
Compound: Na2AlB2O6
Source: Alexandria
Functional: PBE
Structure: optimized geometry

Cell lengths 5.009, 5.009, 5.907 Å; angles 90.00, 90.00, 120.00 degrees
Fractional positions:
Na  0.333  0.667  0.299
Na  0.667  0.333  0.701
Al  0.000  0.000  0.000
B  0.333  0.667  0.814
B  0.667  0.333  0.186
O  0.176  0.351  0.806
O  0.176  0.824  0.806
O  0.351  0.176  0.194
O  0.649  0.824  0.806
O  0.824  0.176  0.194
O  0.824  0.649  0.194

Summary:
D(E_F), states/eV/cell: 4.85
Energy, eV/atom: -6.7042